1.
La2AgW PBE relaxed; symmetry = P4mm (99); density = 9.5 Mg/m³; magnetization = 0.000 μB per formula unit; formation energy = 0.540 eV per atom; VASP energy = -23.5 eV for the cell shown
1.0
-1.956 -1.470 1.937
1.115 -2.752 -0.960
7.044 0.294 7.338
W Ag La
1 1 2
direct
0.000 0.000 0.533 W
0.500 0.500 0.713 Ag
0.500 0.500 0.301 La
0.000 0.000 0.953 La

---

2.
LaAgW2 PBE relaxed; symmetry = Immm (71); density = 12.7 Mg/m³; magnetization = 0.000 μB per formula unit; formation energy = 0.777 eV per atom; VASP energy = -30.6 eV for the cell shown
1.0
-4.510 2.336 3.607
-5.518 1.855 -2.220
4.385 -4.244 1.253
Ag W La
1 2 1
direct
0.250 0.750 0.500 Ag
0.017 0.017 0.000 W
0.483 0.483 0.000 W
0.750 0.250 0.500 La

---

3.
LaAgW2 PBE relaxed; symmetry = Imm2 (44); density = 12.0 Mg/m³; magnetization = 0.000 μB per formula unit; formation energy = 0.727 eV per atom; VASP energy = -30.8 eV for the cell shown
1.0
5.731 0.001 0.012
2.424 5.194 -0.012
-3.483 -3.531 2.872
W La Ag
2 1 1
direct
0.034 0.034 0.000 W
0.219 0.719 0.500 W
0.764 0.264 0.500 La
0.484 0.484 0.000 Ag

---

4.
LaAg3W PBE relaxed; symmetry = Pm-3m (221); density = 7.5 Mg/m³; magnetization = 0.000 μB per formula unit; formation energy = 2.232 eV per atom; VASP energy = -15.3 eV for the cell shown
1.0
5.219 0.000 0.000
0.000 5.219 0.000
0.000 0.000 5.219
W Ag La
1 3 1
direct
0.500 0.500 0.500 W
0.000 0.500 0.000 Ag
0.500 0.000 0.000 Ag
0.000 0.000 0.500 Ag
0.000 0.000 0.000 La

---

5.
LaAgW3 PBE relaxed; symmetry = Pm-3m (221); density = 11.1 Mg/m³; magnetization = 0.000 μB per formula unit; formation energy = 2.323 eV per atom; VASP energy = -35.0 eV for the cell shown
1.0
4.929 0.000 0.000
0.000 4.929 0.000
0.000 0.000 4.929
W Ag La
3 1 1
direct
0.000 0.000 0.500 W
0.000 0.500 0.000 W
0.500 0.000 0.000 W
0.000 0.000 0.000 Ag
0.500 0.500 0.500 La

---

6.
LaAg2W PBE relaxed; symmetry = R3m (160); density = 11.0 Mg/m³; magnetization = 0.544 μB per formula unit; formation energy = 0.576 eV per atom; VASP energy = -21.3 eV for the cell shown
1.0
-6.276 1.900 -8.291
-5.574 -0.944 -8.932
-7.849 -0.343 -7.072
La W Ag
1 1 2
direct
0.499 0.499 0.499 La
0.742 0.742 0.742 W
0.259 0.259 0.259 Ag
0.001 0.001 0.001 Ag

---

7.
LaAgW2 PBE relaxed; symmetry = P2/m (10); density = 12.7 Mg/m³; magnetization = 0.000 μB per formula unit; formation energy = 0.805 eV per atom; VASP energy = -30.5 eV for the cell shown
1.0
-0.875 3.098 -4.223
0.977 -2.058 -1.712
-4.781 -2.285 -0.686
La W Ag
1 2 1
direct
0.500 0.750 0.750 La
0.000 0.084 0.991 W
0.000 0.416 0.509 W
0.500 0.250 0.250 Ag

---

8.
LaAgW2 PBE relaxed; symmetry = P4mm (99); density = 13.2 Mg/m³; magnetization = 0.000 μB per formula unit; formation energy = 0.607 eV per atom; VASP energy = -31.3 eV for the cell shown
1.0
2.806 0.000 0.000
0.000 2.806 0.000
0.000 0.000 9.855
La W Ag
1 2 1
direct
0.500 0.500 0.753 La
0.500 0.500 0.251 W
0.000 0.000 0.026 W
0.000 0.000 0.469 Ag